The following is a PBE calculation of a relaxed structure of V2GeCl2, from Alexandria via LeMat-Bulk.

As for the space group: I4/mmm. The formation energy from raw total energies is 0.125 eV/atom. The final energy comes out at -5.18 eV per atom.

abc: 4.2973 4.2973 5.6184
angles: 67.52 67.52 90.00
Atoms (fractional coordinates):
1 Ge 0.0000 0.0000 0.0000
2 V 0.7500 0.2500 0.5000
3 V 0.2500 0.7500 0.5000
4 Cl 0.3510 0.3510 0.2981
5 Cl 0.6490 0.6490 0.7019

The following is a PBE calculation of a relaxed structure of AlNi3, from Alexandria via LeMat-Bulk.

As for the formation enthalpy at 0 K: -0.042 eV per atom. As for the space group: Cmcm. The final energy comes out at -5.31 eV per atom.

abc: 4.8443 4.8443 4.2443
angles: 90.00 90.00 90.16
Atoms (fractional coordinates):
1 Al 0.3982 0.6018 0.2500
2 Al 0.6018 0.3982 0.7500
3 Ni 0.9328 0.0672 0.7500
4 Ni 0.0672 0.9328 0.2500
5 Ni 0.1011 0.5621 0.7500
6 Ni 0.8989 0.4379 0.2500
7 Ni 0.4379 0.8989 0.7500
8 Ni 0.5621 0.1011 0.2500

The following is a PBE calculation of a relaxed structure of Pm4Er3Tl4, from Alexandria via LeMat-Bulk.

As for the formation enthalpy at 0 K: -0.238 eV per atom. As for the space group: Immm. The final energy comes out at -4.07 eV per atom.

abc: 3.6423 9.4346 10.9048
angles: 115.63 99.61 90.00
Atoms (fractional coordinates):
1 Pm 0.3389 0.1623 0.6778
2 Pm 0.6611 0.4845 0.3222
3 Pm 0.6611 0.8377 0.3222
4 Pm 0.3389 0.5155 0.6778
5 Er 0.0939 0.0939 0.1878
6 Er 0.9061 0.9061 0.8122
7 Er 0.0000 0.5000 0.0000
8 Tl 0.2757 0.7757 0.5513
9 Tl 0.7243 0.2243 0.4487
10 Tl 0.5000 0.7806 0.0000
11 Tl 0.5000 0.2194 0.0000

The following is a PBE calculation of a relaxed structure of KCa3Mn, from Alexandria via LeMat-Bulk.

As for the formation enthalpy at 0 K: 1.297 eV per atom. The calculation puts the energy relative to the lowest polymorph listed for this composition at 694 meV per atom. As for the space group: Pm-3m. The final energy comes out at -1.96 eV per atom.

abc: 6.0689 6.0689 6.0689
angles: 90.00 90.00 90.00
Atoms (fractional coordinates):
1 K 0.0000 0.0000 0.0000
2 Ca 0.0000 0.5000 0.0000
3 Ca 0.0000 0.0000 0.5000
4 Ca 0.5000 0.0000 0.0000
5 Mn 0.5000 0.5000 0.5000

The following is a PBE calculation of a relaxed structure of PrNd6Ho5, from Alexandria via LeMat-Bulk.

As for the formation enthalpy at 0 K: 0.017 eV per atom. As for the space group: Cmmm. The final energy comes out at -4.67 eV per atom.

abc: 11.3689 5.1331 8.1310
angles: 71.60 81.81 63.18
Atoms (fractional coordinates):
1 Pr 0.0000 0.0000 0.0000
2 Nd 0.7480 0.0850 0.3342
3 Nd 0.2520 0.5809 0.3342
4 Nd 0.2524 0.2477 0.0000
5 Nd 0.7476 0.7523 0.0000
6 Nd 0.7480 0.4191 0.6658
7 Nd 0.2520 0.9150 0.6658
8 Ho 0.5000 0.1665 0.6670
9 Ho 0.0000 0.3317 0.3366
10 Ho 0.5000 0.5000 0.0000
11 Ho 0.0000 0.6683 0.6634
12 Ho 0.5000 0.8335 0.3330

The following is a PBE calculation of a relaxed structure of Y2AlCu, from Alexandria via LeMat-Bulk.

As for the formation enthalpy at 0 K: -0.331 eV per atom. As for the space group: P4/mmm. The final energy comes out at -5.52 eV per atom.

abc: 3.4875 3.4954 8.1606
angles: 64.60 90.00 90.00
Atoms (fractional coordinates):
1 Y 0.0000 0.0138 0.9864
2 Y 0.0000 0.4862 0.5136
3 Al 0.5000 0.2500 0.2500
4 Cu 0.5000 0.7500 0.7500

The following is a PBE calculation of a relaxed structure of Mg3Sn2BRu3, from Alexandria via LeMat-Bulk.

As for the formation enthalpy at 0 K: -0.118 eV per atom. As for the space group: P-62m. The final energy comes out at -5.37 eV per atom.

abc: 3.2270 7.1911 7.1911
angles: 120.00 90.00 90.00
Atoms (fractional coordinates):
1 Mg 0.0000 0.0000 0.3438
2 Mg 0.0000 0.6562 0.6562
3 Mg 0.0000 0.3438 0.0000
4 Sn 0.5000 0.3333 0.6667
5 Sn 0.5000 0.6667 0.3333
6 B 0.0000 0.0000 0.0000
7 Ru 0.5000 0.7661 0.0000
8 Ru 0.5000 0.2339 0.2339
9 Ru 0.5000 0.0000 0.7661

The following is a PBE calculation of a relaxed structure of NbCd3Ga, from Alexandria via LeMat-Bulk.

As for the formation enthalpy at 0 K: 0.981 eV per atom. The calculation puts the energy relative to the lowest polymorph listed for this composition at 0 meV per atom. As for the space group: Pm-3m. The final energy comes out at -2.19 eV per atom.

abc: 4.9373 4.9373 4.9373
angles: 90.00 90.00 90.00
Atoms (fractional coordinates):
1 Nb 0.5000 0.5000 0.5000
2 Ga 0.0000 0.0000 0.0000
3 Cd 0.0000 0.5000 0.0000
4 Cd 0.0000 0.0000 0.5000
5 Cd 0.5000 0.0000 0.0000

The following is a PBE calculation of a relaxed structure of Co5W, from Alexandria via LeMat-Bulk.

As for the formation enthalpy at 0 K: 0.035 eV per atom. The calculation puts the energy relative to the lowest polymorph listed for this composition at 17 meV per atom. As for the space group: Cmmm. The final energy comes out at -8.05 eV per atom.

abc: 3.5685 3.5845 5.6583
angles: 108.47 90.00 90.00
Atoms (fractional coordinates):
1 Co 0.5000 0.8288 0.6576
2 Co 0.0000 0.6701 0.3402
3 Co 0.5000 0.5000 0.0000
4 Co 0.0000 0.3299 0.6598
5 Co 0.5000 0.1712 0.3424
6 W 0.0000 0.0000 0.0000

The following is a PBE calculation of a relaxed structure of Rb3SCl6, from Alexandria via LeMat-Bulk.

As for the space group: P2_1/c. The formation energy from raw total energies is -1.147 eV/atom. The final energy comes out at -2.96 eV per atom.

abc: 8.1556 6.9245 12.2329
angles: 90.00 99.25 90.00
Atoms (fractional coordinates):
1 Rb 0.4887 0.9670 0.7263
2 Rb 0.5000 0.5000 0.0000
3 Rb 0.5113 0.0330 0.2737
4 Rb 0.9887 0.5330 0.2263
5 Rb 0.0000 0.0000 0.5000
6 Rb 0.0113 0.4670 0.7737
7 S 0.5000 0.5000 0.5000
8 S 0.0000 0.0000 0.0000
9 Cl 0.7733 0.1873 0.9255
10 Cl 0.6607 0.2255 0.5382
11 Cl 0.5964 0.5252 0.2650
12 Cl 0.4036 0.4748 0.7350
13 Cl 0.3393 0.7745 0.4618
14 Cl 0.2267 0.8127 0.0745
15 Cl 0.2733 0.3127 0.4255
16 Cl 0.1607 0.2745 0.0382
17 Cl 0.0964 0.9748 0.7650
18 Cl 0.9036 0.0252 0.2350
19 Cl 0.8393 0.7255 0.9618
20 Cl 0.7267 0.6873 0.5745

The following is a PBE calculation of a relaxed structure of ReOsPb, from Alexandria via LeMat-Bulk.

As for the formation enthalpy at 0 K: 0.869 eV per atom. The calculation puts the energy relative to the lowest polymorph listed for this composition at 239 meV per atom. As for the space group: F-43m. The final energy comes out at -8.26 eV per atom.

abc: 4.3921 4.3921 4.3921
angles: 60.00 60.00 60.00
Atoms (fractional coordinates):
1 Os 0.2500 0.2500 0.2500
2 Pb 0.0000 0.0000 0.0000
3 Re 0.5000 0.5000 0.5000

The following is a PBE calculation of a relaxed structure of Ba2CeI, from Alexandria via LeMat-Bulk.

As for the space group: R-3m. The formation energy from raw total energies is -0.186 eV/atom. The final energy comes out at -3.02 eV per atom.

abc: 4.0776 4.0776 13.0627
angles: 81.02 81.02 60.00
Atoms (fractional coordinates):
1 I 0.5000 0.5000 0.5000
2 Ba 0.0971 0.0971 0.7087
3 Ba 0.9029 0.9029 0.2913
4 Ce 0.0000 0.0000 0.0000